Record 1
Here is ScTiSn2 after structural relaxation from Alexandria. Energies are from GGA-PBE.

a b c (Å): 4.9660 4.9660 4.9660
angles (deg): 60.00 60.00 60.00
Closest atoms and distances in Å follow each position.
Atoms (fractional coordinates):
Sn 0.2500 0.2500 0.2500  4 Ti 3.04, 4 Sc 3.04
Sn 0.7500 0.7500 0.7500  4 Ti 3.04, 4 Sc 3.04
Sc 0.0000 0.0000 0.0000  8 Sn 3.04
Ti 0.5000 0.5000 0.5000  8 Sn 3.04

Output
The total energy is -5.814 eV per atom. The formation energy comes out at -0.255 eV/atom. Its space group is Fm-3m. For the energy above the most stable polymorph in this dataset, the calculation gives 85 meV/atom.



Record 2
Here is Tb2DyEr2In after structural relaxation from Alexandria. Energies are from GGA-PBE.

a b c (Å): 5.3082 9.9426 6.6506
angles (deg): 90.00 90.00 90.00
Closest atoms and distances in Å follow each position.
Atoms (fractional coordinates):
Dy 0.5000 0.5000 0.0000  2 In 3.33, 4 Er 3.54, 6 Tb 3.56-3.70
Dy 0.0000 0.0000 0.5000  2 In 3.33, 4 Er 3.54, 6 Tb 3.56-3.70
In 0.0000 0.0000 0.0000  2 Dy 3.33, 4 Er 3.48, 4 Tb 3.52
In 0.5000 0.5000 0.5000  2 Dy 3.33, 4 Er 3.48, 4 Tb 3.52
Tb 0.0000 0.6650 0.7434  5 Er 3.18-3.43, 2 In 3.52, 2 Dy 3.56
Tb 0.0000 0.3350 0.2566  5 Er 3.18-3.43, 2 In 3.52, 2 Dy 3.56
Tb 0.5000 0.1650 0.7566  5 Er 3.18-3.43, 2 In 3.52, 2 Dy 3.56
Tb 0.5000 0.8350 0.2434  5 Er 3.18-3.43, 2 In 3.52, 2 Dy 3.56
Er 0.5000 0.8409 0.7589  5 Tb 3.18-3.43, 2 In 3.48, 2 Dy 3.54
Er 0.0000 0.6591 0.2589  5 Tb 3.18-3.43, 2 In 3.48, 2 Dy 3.54
Er 0.0000 0.3409 0.7411  5 Tb 3.18-3.43, 2 In 3.48, 2 Dy 3.54
Er 0.5000 0.1591 0.2411  5 Tb 3.18-3.43, 2 In 3.48, 2 Dy 3.54

Output
The total energy is -4.322 eV per atom. The formation energy comes out at -0.035 eV/atom. Its space group is Pnnm.



Record 3
Here is Al2IrO6 after structural relaxation from Alexandria. Energies are from GGA-PBE.

a b c (Å): 4.4497 4.4497 8.8904
angles (deg): 90.00 90.00 90.00
Closest atoms and distances in Å follow each position.
Atoms (fractional coordinates):
O 0.8014 0.1986 0.3291  2 Al 1.90-1.91, 1 Ir 1.97
O 0.8014 0.1986 0.6709  2 Al 1.90-1.91, 1 Ir 1.97
O 0.8044 0.1956 0.0000  1 Ir 1.92, 2 Al 1.93
O 0.1986 0.8014 0.6709  2 Al 1.90-1.91, 1 Ir 1.97
O 0.3044 0.3044 0.5000  1 Ir 1.92, 2 Al 1.93
O 0.3014 0.3014 0.1709  2 Al 1.90-1.91, 1 Ir 1.97
O 0.1986 0.8014 0.3291  2 Al 1.90-1.91, 1 Ir 1.97
O 0.6986 0.6986 0.1709  2 Al 1.90-1.91, 1 Ir 1.97
O 0.6956 0.6956 0.5000  1 Ir 1.92, 2 Al 1.93
O 0.3014 0.3014 0.8291  2 Al 1.90-1.91, 1 Ir 1.97
O 0.6986 0.6986 0.8291  2 Al 1.90-1.91, 1 Ir 1.97
O 0.1956 0.8044 0.0000  1 Ir 1.92, 2 Al 1.93
Al 0.0000 0.0000 0.8329  6 O 1.90-1.93
Al 0.5000 0.5000 0.6671  6 O 1.90-1.93
Al 0.5000 0.5000 0.3329  6 O 1.90-1.93
Al 0.0000 0.0000 0.1671  6 O 1.90-1.93
Ir 0.5000 0.5000 0.0000  6 O 1.92-1.97
Ir 0.0000 0.0000 0.5000  6 O 1.92-1.97

Output
The total energy is -7.039 eV per atom. The value obtained for the formation energy (no corrections) is -1.918 eV/atom. Its space group is P4_2/mnm.